NaNdAuSe2 after structural relaxation, computed with PBE.

a b c (Å): 5.044 6.977 8.015
angles (deg): 96.40 90.00 90.00
Element x y z (fractional)
Au 0.000 0.000 0.000
Na 0.911 0.500 0.250
Nd 0.508 0.000 0.750
Se 0.677 0.286 0.524
Nd 0.492 0.000 0.250
Na 0.089 0.500 0.750
Se 0.677 0.714 0.976
Se 0.323 0.286 0.024
Au 0.000 0.000 0.500
Se 0.323 0.714 0.476

Calculated values
**Formation energy (no corrections)**: -1.0145 eV per atom
**E**: -0.3147 Ry per atom
**DOS(E_F)**: 2.5 states/eV/f.u.